YTa2Be: optimized geometry, GGA-PBE.

The structure in CIF format:
```
data_YTa2Be
_cell_length_a 3.170
_cell_length_b 4.892
_cell_length_c 5.089
_cell_angle_alpha 90.00
_cell_angle_beta 99.63
_cell_angle_gamma 90.00
_symmetry_space_group_name_H-M 'P 1 2/m 1'
_symmetry_Int_Tables_number 10
loop_
_symmetry_equiv_pos_as_xyz
'x,y,z'
'-x,-y,-z'
'-x,y,-z'
'x,-y,z'
loop_
_atom_site_label
_atom_site_type_symbol
_atom_site_fract_x
_atom_site_fract_y
_atom_site_fract_z
Y1 Y 0.000 0.000 0.000
Ta1 Ta 0.362 0.500 0.727
Be1 Be 0.500 0.000 0.500
```

Energy relative to the elements ... 0.4405 eV per atom
N(E_F) ... 0.9821 states/eV per atom